Record 1
Material: KHfBeOs2
Method: DFT, SCAN
State: PBEsol geometry

Computed properties:
Density: 11.82 g cm⁻³
Space-group type: No. 123
Energy of formation: 2.715 eV per atom

Cell: 4.6332 4.6332 3.9741 Å, 90.00 90.00 90.00°
Fractional coordinates of all 5 atoms:
K1 0.0000 0.0000 0.0000
Hf1 0.5000 0.5000 0.5000
Be1 0.0000 0.0000 0.5000
Os1 0.0000 0.5000 0.0000
Os2 0.5000 0.0000 0.0000


Record 2
Material: KHf2BeRh
Method: DFT, SCAN
State: PBEsol geometry

Computed properties:
Density: 8.60 g cm⁻³
Space-group type: No. 123
Energy of formation: 0.661 eV per atom

Cell: 4.8428 4.8428 4.1848 Å, 90.00 90.00 90.00°
Fractional coordinates of all 5 atoms:
K1 0.0000 0.0000 0.0000
Hf1 0.0000 0.5000 0.5000
Hf2 0.5000 0.0000 0.5000
Be1 0.5000 0.5000 0.5000
Rh1 0.5000 0.5000 0.0000


Record 3
Material: LiHf2ZrBe
Method: DFT, SCAN
State: PBEsol geometry

Computed properties:
Density: 6.28 g cm⁻³
Space-group type: No. 123
Energy of formation: 1.285 eV per atom

Cell: 5.0319 5.0319 4.8468 Å, 90.00 90.00 90.00°
Fractional coordinates of all 5 atoms:
Li1 0.0000 0.0000 0.0000
Hf1 0.0000 0.5000 0.5000
Hf2 0.5000 0.0000 0.5000
Zr1 0.5000 0.5000 0.5000
Be1 0.5000 0.5000 0.0000


Record 4
Material: HfMg2TiBe
Method: DFT, SCAN
State: PBEsol geometry

Computed properties:
Density: 3.90 g cm⁻³
Space-group type: No. 123
Energy of formation: 1.393 eV per atom

Cell: 5.1008 5.1008 4.6531 Å, 90.00 90.00 90.00°
Fractional coordinates of all 5 atoms:
Hf1 0.0000 0.0000 0.0000
Mg1 0.0000 0.5000 0.5000
Mg2 0.5000 0.0000 0.5000
Ti1 0.0000 0.0000 0.5000
Be1 0.5000 0.5000 0.0000


Record 5
Material: Na2HfMnBe
Method: DFT, SCAN
State: PBEsol geometry

Computed properties:
Density: 5.00 g cm⁻³
Space-group type: No. 123
Energy of formation: 1.121 eV per atom

Cell: 4.6011 4.6011 4.5224 Å, 90.00 90.00 90.00°
Fractional coordinates of all 5 atoms:
Na1 0.0000 0.5000 0.0000
Na2 0.5000 0.0000 0.0000
Hf1 0.0000 0.0000 0.5000
Mn1 0.5000 0.5000 0.5000
Be1 0.5000 0.5000 0.0000


Record 6
Material: HfBeMoO2
Method: DFT, SCAN
State: PBEsol geometry

Computed properties:
Density: 6.74 g cm⁻³
Raw formation energy: -61.00 kJ/mol of atoms
Space-group type: No. 123

Cell: 3.8986 3.8986 5.1148 Å, 90.00 90.00 90.00°
Fractional coordinates of all 5 atoms:
Hf1 0.0000 0.0000 0.0000
Be1 0.0000 0.0000 0.5000
Mo1 0.5000 0.5000 0.5000
O1 0.0000 0.5000 0.0000
O2 0.5000 0.0000 0.0000


Number 1: DOS(E_F) 3.1 states/eV per cell. Number 2: DOS(E_F) 3.9 states/eV per cell. Number 3: DOS(E_F) 3.6 states/eV per cell. Number 4: DOS(E_F) 3.8 states/eV per cell. Number 5: DOS(E_F) 6.3 states/eV per cell. Number 6: DOS(E_F) 2.9 states/eV per cell.